{
  "formula": "RbCr2Fe",
  "functional": "PBE",
  "state": "relaxed",
  "lattice_angstrom": [[0.000, 3.087, 3.087], [3.087, 0.000, 3.087], [3.087, 3.087, 0.000]],
  "species": ["Cr", "Cr", "Rb", "Fe"],
  "fractional_positions": [[0.250, 0.250, 0.250], [0.750, 0.750, 0.750], [0.500, 0.500, 0.500], [0.000, 0.000, 0.000]],
  "e_form_ev_per_atom": 2.06,
  "sg": "Fm-3m",
  "relative_energy_kcal_per_mol_atoms": 15.940
}

---

{
  "formula": "RbCr3Fe",
  "functional": "PBE",
  "state": "relaxed",
  "lattice_angstrom": [[4.757, 0.000, 0.000], [0.000, 4.757, 0.000], [0.000, 0.000, 4.757]],
  "species": ["Fe", "Cr", "Cr", "Cr", "Rb"],
  "fractional_positions": [[0.000, 0.000, 0.000], [0.000, 0.500, 0.000], [0.500, 0.000, 0.000], [0.000, 0.000, 0.500], [0.500, 0.500, 0.500]],
  "e_form_ev_per_atom": 1.27,
  "sg": "Pm-3m",
  "relative_energy_kcal_per_mol_atoms": 0.000
}

---

{
  "formula": "RbCrFeS2",
  "functional": "PBE",
  "state": "relaxed",
  "lattice_angstrom": [[-0.739, 4.467, 0.506], [-2.949, -0.049, -3.870], [-3.548, -0.895, 2.715]],
  "species": ["Rb", "Cr", "Fe", "S", "S"],
  "fractional_positions": [[0.000, 0.500, 0.000], [0.500, 0.500, 0.500], [0.000, 0.000, 0.000], [0.000, 0.000, 0.500], [0.500, 0.000, 0.000]],
  "sg": "P4/mmm",
  "raw_formation_energy_ev_per_fu": 6.499
}

---

Please write out number 3 again, unchanged.
{
  "formula": "RbCrFeS2",
  "functional": "PBE",
  "state": "relaxed",
  "lattice_angstrom": [[-0.739, 4.467, 0.506], [-2.949, -0.049, -3.870], [-3.548, -0.895, 2.715]],
  "species": ["Rb", "Cr", "Fe", "S", "S"],
  "fractional_positions": [[0.000, 0.500, 0.000], [0.500, 0.500, 0.500], [0.000, 0.000, 0.000], [0.000, 0.000, 0.500], [0.500, 0.000, 0.000]],
  "sg": "P4/mmm",
  "raw_formation_energy_ev_per_fu": 6.499
}

---

Number 2 is which compound?
RbCr3Fe

---

Number 2 is which compound?
RbCr3Fe

---

Repeat the first record exactly.
{
  "formula": "RbCr2Fe",
  "functional": "PBE",
  "state": "relaxed",
  "lattice_angstrom": [[0.000, 3.087, 3.087], [3.087, 0.000, 3.087], [3.087, 3.087, 0.000]],
  "species": ["Cr", "Cr", "Rb", "Fe"],
  "fractional_positions": [[0.250, 0.250, 0.250], [0.750, 0.750, 0.750], [0.500, 0.500, 0.500], [0.000, 0.000, 0.000]],
  "e_form_ev_per_atom": 2.06,
  "sg": "Fm-3m",
  "relative_energy_kcal_per_mol_atoms": 15.940
}